(1)
Compound: Mg2SbPd3
Source: Alexandria
Functional: PBE-GGA
Structure: optimized geometry

Cell lengths 4.599, 4.599, 5.584 Å; angles 90.00, 90.00, 120.00 degrees
Element x y z (fractional)
Mg 0.667 0.333 0.342
Mg 0.333 0.667 0.658
Sb 0.000 0.000 0.000
Pd 0.000 0.000 0.500
Pd 0.667 0.333 0.836
Pd 0.333 0.667 0.164

Values from the calculation:
Symmetry: P-3m1 (164)
Formation energy (no corrections): -0.669 eV/atom

(2)
Compound: TaTc2Os
Source: Alexandria
Functional: PBE-GGA
Structure: optimized geometry

Cell lengths 2.786, 2.786, 7.983 Å; angles 90.00, 90.00, 90.00 degrees
Element x y z (fractional)
Os 0.000 0.000 0.481
Ta 0.500 0.500 0.746
Tc 0.000 0.000 0.017
Tc 0.500 0.500 0.256

Values from the calculation:
Symmetry: P4mm (99)
Formation energy: 0.016 eV per atom

(3)
Compound: Y2TmSc2
Source: Alexandria
Functional: PBE-GGA
Structure: optimized geometry

Cell lengths 6.366, 6.636, 13.901 Å; angles 90.00, 100.49, 90.00 degrees
Element x y z (fractional)
Y 0.632 0.390 0.108
Y 0.132 0.110 0.108
Y 0.868 0.890 0.892
Y 0.368 0.610 0.892
Y 0.971 0.682 0.299
Y 0.471 0.818 0.299
Y 0.529 0.182 0.701
Y 0.029 0.318 0.701
Tm 0.373 0.326 0.315
Tm 0.627 0.674 0.685
Tm 0.873 0.174 0.315
Tm 0.127 0.826 0.685
Sc 0.638 0.885 0.093
Sc 0.138 0.615 0.093
Sc 0.862 0.385 0.907
Sc 0.362 0.115 0.907
Sc 0.749 0.512 0.484
Sc 0.249 0.988 0.484
Sc 0.751 0.012 0.516
Sc 0.251 0.488 0.516

Values from the calculation:
Symmetry: P2_1/c (14)
Formation energy: 0.111 eV per atom

(4)
Compound: Na3CrSn
Source: Alexandria
Functional: PBE-GGA
Structure: optimized geometry

Cell lengths 5.869, 5.869, 5.869 Å; angles 90.00, 90.00, 90.00 degrees
Last column: magnetic moment on the atom in μB.
Element x y z (fractional)
Cr 0.500 0.500 0.500  4.43
Sn 0.000 0.000 0.000  -0.25
Na 0.000 0.500 0.000  -0.01
Na 0.000 0.000 0.500  -0.02
Na 0.500 0.000 0.000  0.00

Values from the calculation:
Symmetry: Pm-3m (221)
Formation energy: 0.703 eV per atom

(5)
Compound: CeAs2Au
Source: Alexandria
Functional: PBE-GGA
Structure: optimized geometry

Cell lengths 4.128, 4.128, 9.961 Å; angles 90.00, 90.00, 90.00 degrees
Last column: magnetic moment on the atom in μB.
Element x y z (fractional)
Ce 0.500 0.000 0.771  0.46
Ce 0.000 0.500 0.229  0.46
As 0.500 0.000 0.308  -0.01
As 0.000 0.500 0.692  -0.01
As 0.500 0.500 0.000  0.00
As 0.000 0.000 0.000  0.00
Au 0.500 0.500 0.500  0.00
Au 0.000 0.000 0.500  0.00

Values from the calculation:
Symmetry: P4/nmm (129)
Formation energy: -0.790 eV per atom

(6)
Compound: Er3Ge2Rh2
Source: Alexandria
Functional: PBE-GGA
Structure: optimized geometry

Cell lengths 5.561, 7.713, 13.224 Å; angles 90.00, 90.00, 90.00 degrees
Element x y z (fractional)
Er 0.629 0.263 0.250
Er 0.371 0.737 0.750
Er 0.371 0.763 0.250
Er 0.629 0.237 0.750
Er 0.146 0.398 0.100
Er 0.854 0.602 0.900
Er 0.854 0.602 0.600
Er 0.854 0.898 0.400
Er 0.146 0.398 0.400
Er 0.146 0.102 0.600
Er 0.146 0.102 0.900
Er 0.854 0.898 0.100
Ge 0.124 0.114 0.250
Ge 0.876 0.886 0.750
Ge 0.876 0.614 0.250
Ge 0.124 0.386 0.750
Ge 0.670 0.250 0.000
Ge 0.330 0.750 0.000
Ge 0.330 0.750 0.500
Ge 0.670 0.250 0.500
Rh 0.373 0.046 0.093
Rh 0.627 0.954 0.907
Rh 0.627 0.954 0.593
Rh 0.627 0.546 0.407
Rh 0.373 0.046 0.407
Rh 0.373 0.454 0.593
Rh 0.373 0.454 0.907
Rh 0.627 0.546 0.093

Values from the calculation:
Symmetry: Pbcm (57)
Formation energy: -0.947 eV per atom